Computed, not measured: a relaxed structure of Dy12Sb3N5 at the PBE-GGA level of DFT.

- E_tot: -6.485 eV/atom
- Energy relative to the elements, uncorrected: -1024 meV/atom
- Density of states at the Fermi level: 0.73 states/eV per atom

a = 13.4954 Å, b = 13.4954 Å, c = 13.4954 Å
α = 109.47°, β = 109.47°, γ = 109.47°
Closest atoms and distances in Å follow each position.
Element x y z (fractional)
Sb: 0.7500 0.3750 0.1250  8 Dy 3.11-3.21
Sb: 0.8750 0.7500 0.1250  8 Dy 3.11-3.21
Sb: 0.3750 0.7500 0.6250  8 Dy 3.11-3.21
Sb: 0.2500 0.1250 0.3750  8 Dy 3.11-3.21
Sb: 0.8750 0.1250 0.2500  8 Dy 3.11-3.21
Sb: 0.3750 0.6250 0.2500  8 Dy 3.11-3.21
Sb: 0.6250 0.3750 0.7500  8 Dy 3.11-3.21
Sb: 0.1250 0.8750 0.7500  8 Dy 3.11-3.21
Sb: 0.7500 0.8750 0.6250  8 Dy 3.11-3.21
Sb: 0.6250 0.2500 0.3750  8 Dy 3.11-3.21
Sb: 0.1250 0.2500 0.8750  8 Dy 3.11-3.21
Sb: 0.2500 0.6250 0.8750  8 Dy 3.11-3.21
N: 0.1250 0.3750 0.2500  4 Dy 2.22
N: 0.0000 0.5000 0.0000  6 Dy 2.50
N: 0.0000 0.0000 0.0000  6 Dy 2.50
N: 0.3750 0.2500 0.1250  4 Dy 2.22
N: 0.5000 0.0000 0.5000  6 Dy 2.50
N: 0.5000 0.5000 0.0000  6 Dy 2.50
N: 0.1250 0.7500 0.3750  4 Dy 2.22
N: 0.7500 0.1250 0.8750  4 Dy 2.22
N: 0.7500 0.6250 0.3750  4 Dy 2.22
N: 0.3750 0.1250 0.7500  4 Dy 2.22
N: 0.6250 0.8750 0.2500  4 Dy 2.22
N: 0.5000 0.5000 0.5000  6 Dy 2.50
N: 0.5000 0.0000 0.0000  6 Dy 2.50
N: 0.0000 0.0000 0.5000  6 Dy 2.50
N: 0.2500 0.3750 0.6250  4 Dy 2.22
N: 0.2500 0.8750 0.1250  4 Dy 2.22
N: 0.0000 0.5000 0.5000  6 Dy 2.50
N: 0.8750 0.2500 0.6250  4 Dy 2.22
N: 0.6250 0.7500 0.8750  4 Dy 2.22
N: 0.8750 0.6250 0.7500  4 Dy 2.22
Dy: 0.6964 0.1083 0.0099  1 N 2.22
Dy: 0.3135 0.5099 0.4015  1 N 2.22
Dy: 0.9901 0.3917 0.3036  1 N 2.22
Dy: 0.5099 0.1964 0.1083  1 N 2.22
Dy: 0.5881 0.6964 0.6865  1 N 2.22
Dy: 0.9901 0.5985 0.1865  1 N 2.22
Dy: 0.3135 0.8036 0.4119  1 N 2.22
Dy: 0.0985 0.9119 0.1083  1 N 2.22
Dy: 0.5985 0.9901 0.6865  1 N 2.22
Dy: 0.6964 0.5881 0.1865  1 N 2.22
Dy: 0.8036 0.4901 0.3917  1 N 2.22
Dy: 0.8135 0.9015 0.0099  1 N 2.22
Dy: 0.1083 0.6964 0.5099  1 N 2.22
Dy: 0.3917 0.4015 0.0881  1 N 2.22
Dy: 0.0881 0.9015 0.3917  1 N 2.22
Dy: 0.4119 0.1083 0.5985  1 N 2.22
Dy: 0.0881 0.1865 0.1964  1 N 2.22
Dy: 0.4901 0.6865 0.0985  1 N 2.22
Dy: 0.8135 0.9119 0.3036  1 N 2.22
Dy: 0.1083 0.4119 0.0985  1 N 2.22
Dy: 0.3917 0.9901 0.8036  1 N 2.22
Dy: 0.5985 0.6083 0.4119  1 N 2.22
Dy: 0.9015 0.8135 0.5099  1 N 2.22
Dy: 0.8036 0.3135 0.9119  1 N 2.22
Dy: 0.4015 0.3917 0.5881  1 N 2.22
Dy: 0.0985 0.1865 0.4901  1 N 2.22
Dy: 0.1964 0.6865 0.0881  1 N 2.22
Dy: 0.1865 0.0881 0.6964  1 N 2.22
Dy: 0.6083 0.0099 0.1964  1 N 2.22
Dy: 0.8917 0.5881 0.9015  1 N 2.22
Dy: 0.5099 0.3135 0.9015  1 N 2.22
Dy: 0.5881 0.8917 0.4015  1 N 2.22
Dy: 0.9119 0.8135 0.8036  1 N 2.22
Dy: 0.9119 0.0985 0.6083  1 N 2.22
Dy: 0.8917 0.3036 0.4901  1 N 2.22
Dy: 0.1865 0.0985 0.9901  1 N 2.22
Dy: 0.6083 0.5985 0.9119  1 N 2.22
Dy: 0.4015 0.0099 0.3135  1 N 2.22
Dy: 0.3036 0.4119 0.8135  1 N 2.22
Dy: 0.1964 0.5099 0.6083  1 N 2.22
Dy: 0.9015 0.0881 0.8917  1 N 2.22
Dy: 0.6865 0.1964 0.5881  1 N 2.22
Dy: 0.4901 0.8036 0.8917  1 N 2.22
Dy: 0.0099 0.4015 0.8135  1 N 2.22
Dy: 0.4119 0.3036 0.3135  1 N 2.22
Dy: 0.0099 0.6083 0.6964  1 N 2.22
Dy: 0.6865 0.4901 0.5985  1 N 2.22
Dy: 0.3036 0.8917 0.9901  1 N 2.22



Computed, not measured: a relaxed structure of Dy3SbN at the PBE-GGA level of DFT.

- E_tot: -6.132 eV/atom
- Energy relative to the elements, uncorrected: -882 meV/atom
- Density of states at the Fermi level: 0.77 states/eV per atom

a = 3.4617 Å, b = 8.7008 Å, c = 8.5204 Å
α = 93.48°, β = 101.72°, γ = 90.00°
Closest atoms and distances in Å follow each position.
Element x y z (fractional)
Dy: 0.9925 0.7885 0.9850  2 N 2.37
Dy: 0.0075 0.2115 0.0150  2 N 2.37
Dy: 0.3466 0.0394 0.6932  1 N 2.35
Dy: 0.6534 0.9606 0.3068  1 N 2.35
Dy: 0.1544 0.6111 0.3088  2 N 2.36
Dy: 0.8456 0.3889 0.6912  2 N 2.36
Sb: 0.8060 0.7336 0.6119  7 Dy 3.11-3.32, 2 Sb 3.46
Sb: 0.1940 0.2664 0.3881  7 Dy 3.11-3.32, 2 Sb 3.46
N: 0.5808 0.7210 0.1615  5 Dy 2.35-2.37
N: 0.4192 0.2790 0.8385  5 Dy 2.35-2.37



Computed, not measured: a relaxed structure of Sm2DySbN4 at the PBE-GGA level of DFT.

- E_tot: -7.390 eV/atom
- Energy relative to the elements, uncorrected: -957 meV/atom
- Density of states at the Fermi level: 0.05 states/eV per atom

a = 3.5445 Å, b = 6.1625 Å, c = 6.1274 Å
α = 109.38°, β = 90.00°, γ = 90.00°
Closest atoms and distances in Å follow each position.
Element x y z (fractional)
Sm: 0.5000 0.0000 0.5000  6 N 2.53-2.54
Sm: 0.0000 0.5000 0.5000  6 N 2.47
Dy: 0.5000 0.5000 0.0000  6 N 2.48
Sb: 0.0000 0.0000 0.0000  6 N 2.55
N: 0.5000 0.2609 0.2554  3 Sm 2.47-2.54, 1 Dy 2.48, 2 Sb 2.55
N: 0.5000 0.7391 0.7446  3 Sm 2.47-2.54, 1 Dy 2.48, 2 Sb 2.55
N: 0.0000 0.2587 0.7510  3 Sm 2.47-2.53, 2 Dy 2.48, 1 Sb 2.55
N: 0.0000 0.7413 0.2490  3 Sm 2.47-2.53, 2 Dy 2.48, 1 Sb 2.55



Computed, not measured: a relaxed structure of SmDy2SbN4 at the PBE-GGA level of DFT.

- E_tot: -7.430 eV/atom
- Energy relative to the elements, uncorrected: -1011 meV/atom
- Density of states at the Fermi level: 0.05 states/eV per atom

a = 3.5148 Å, b = 6.0774 Å, c = 6.1168 Å
α = 109.30°, β = 90.00°, γ = 90.00°
Closest atoms and distances in Å follow each position.
Element x y z (fractional)
Sm: 0.5000 0.5000 0.0000  6 N 2.52
Dy: 0.5000 0.0000 0.5000  6 N 2.46-2.47
Dy: 0.0000 0.5000 0.5000  6 N 2.42-2.43
Sb: 0.0000 0.0000 0.0000  6 N 2.55-2.56
N: 0.5000 0.2604 0.2659  3 Dy 2.43-2.46, 1 Sm 2.52, 2 Sb 2.56
N: 0.5000 0.7396 0.7341  3 Dy 2.43-2.46, 1 Sm 2.52, 2 Sb 2.56
N: 0.0000 0.2517 0.7384  3 Dy 2.42-2.47, 2 Sm 2.52, 1 Sb 2.55
N: 0.0000 0.7483 0.2616  3 Dy 2.42-2.47, 2 Sm 2.52, 1 Sb 2.55



Computed, not measured: a relaxed structure of SrDy2SbN4 at the PBE-GGA level of DFT.

- E_tot: -6.815 eV/atom
- Energy relative to the elements, uncorrected: -777 meV/atom
- Density of states at the Fermi level: 0.08 states/eV per atom

a = 3.6730 Å, b = 6.2995 Å, c = 12.0210 Å
α = 90.00°, β = 90.00°, γ = 106.95°
Closest atoms and distances in Å follow each position.
Element x y z (fractional)
Sr: 0.1047 0.2094 0.7500  6 N 2.83-2.91, 1 Sb 3.16
Sr: 0.8953 0.7906 0.2500  6 N 2.83-2.91, 1 Sb 3.16
Dy: 0.3717 0.7435 0.5340  3 N 2.25-2.43
Dy: 0.6283 0.2565 0.0340  3 N 2.25-2.43
Dy: 0.6283 0.2565 0.4660  3 N 2.25-2.43
Dy: 0.3717 0.7435 0.9660  3 N 2.25-2.43
Sb: 0.8422 0.6844 0.7500  4 N 2.03-2.09
Sb: 0.1578 0.3156 0.2500  4 N 2.03-2.09
N: 0.2628 0.5256 0.1179  1 Sb 2.03, 1 Dy 2.25
N: 0.7372 0.4744 0.6179  1 Sb 2.03, 1 Dy 2.25
N: 0.7372 0.4744 0.8821  1 Sb 2.03, 1 Dy 2.25
N: 0.2628 0.5256 0.3821  1 Sb 2.03, 1 Dy 2.25
N: 0.0000 0.0000 0.5000  4 Dy 2.43
N: 0.0000 0.0000 0.0000  4 Dy 2.43
N: 0.4257 0.8513 0.7500  2 Sb 2.09
N: 0.5743 0.1487 0.2500  2 Sb 2.09



Computed, not measured: a relaxed structure of Dy2TaSbN5 at the PBE-GGA level of DFT.

- E_tot: -8.253 eV/atom
- Energy relative to the elements, uncorrected: -830 meV/atom
- Density of states at the Fermi level: 0.26 states/eV per atom

a = 3.2548 Å, b = 7.1506 Å, c = 10.7773 Å
α = 90.00°, β = 90.00°, γ = 103.16°
Closest atoms and distances in Å follow each position.
Element x y z (fractional)
Dy: 0.8627 0.7254 0.7515  6 N 2.34-2.50
Dy: 0.1313 0.2625 0.7254  7 N 2.35-2.57
Dy: 0.1373 0.2746 0.2515  6 N 2.34-2.50
Dy: 0.8687 0.7375 0.2254  7 N 2.35-2.57
Ta: 0.7632 0.5263 0.5012  5 N 2.01-2.18
Ta: 0.2368 0.4737 0.0012  5 N 2.01-2.18
Sb: 0.5063 0.0126 0.9705  4 N 2.00-2.02
Sb: 0.4937 0.9874 0.4705  4 N 2.00-2.02
N: 0.3762 0.7524 0.0509  1 Sb 2.01, 1 Ta 2.01
N: 0.7162 0.4324 0.8688  2 Ta 2.18, 1 Dy 2.40
N: 0.4962 0.9923 0.7851  1 Sb 2.00
N: 0.2838 0.5676 0.6328  2 Ta 2.18, 3 Dy 2.34-2.35
N: 0.9249 0.8498 0.5378  2 Sb 2.02
N: 0.6238 0.2476 0.5509  1 Sb 2.01, 1 Ta 2.01
N: 0.2838 0.5676 0.3688  2 Ta 2.18, 1 Dy 2.40
N: 0.5038 0.0077 0.2851  1 Sb 2.00
N: 0.7162 0.4324 0.1328  2 Ta 2.18, 3 Dy 2.34-2.35
N: 0.0751 0.1502 0.0378  2 Sb 2.02



Computed, not measured: a relaxed structure of Tb2DySbN4 at the PBE-GGA level of DFT.

- E_tot: -7.456 eV/atom
- Energy relative to the elements, uncorrected: -1045 meV/atom
- Density of states at the Fermi level: 0.05 states/eV per atom

a = 3.4962 Å, b = 6.0714 Å, c = 6.0633 Å
α = 109.32°, β = 90.00°, γ = 90.00°
Closest atoms and distances in Å follow each position.
Element x y z (fractional)
Tb: 0.5000 0.0000 0.5000  6 N 2.48
Tb: 0.0000 0.5000 0.5000  6 N 2.42
Dy: 0.5000 0.5000 0.0000  6 N 2.47
Sb: 0.0000 0.0000 0.0000  6 N 2.53
N: 0.5000 0.2621 0.2609  3 Tb 2.42-2.48, 1 Dy 2.47, 2 Sb 2.53
N: 0.5000 0.7379 0.7391  3 Tb 2.42-2.48, 1 Dy 2.47, 2 Sb 2.53
N: 0.0000 0.2563 0.7457  3 Tb 2.42-2.48, 2 Dy 2.47, 1 Sb 2.53
N: 0.0000 0.7437 0.2543  3 Tb 2.42-2.48, 2 Dy 2.47, 1 Sb 2.53



Computed, not measured: a relaxed structure of Tb4Dy2Sb3N2 at the PBE-GGA level of DFT.

- E_tot: -6.345 eV/atom
- Energy relative to the elements, uncorrected: -1186 meV/atom
- Density of states at the Fermi level: 0.49 states/eV per atom

a = 4.6578 Å, b = 4.6578 Å, c = 13.0120 Å
α = 100.31°, β = 100.31°, γ = 90.00°
Closest atoms and distances in Å follow each position.
Element x y z (fractional)
Tb: 0.4161 0.9161 0.8322  2 N 2.38
Tb: 0.9161 0.4161 0.8322  2 N 2.38
Tb: 0.0839 0.5839 0.1678  2 N 2.38
Tb: 0.5839 0.0839 0.1678  2 N 2.38
Dy: 0.3078 0.3078 0.6155  1 N 2.24
Dy: 0.6922 0.6922 0.3845  1 N 2.24
Sb: 0.0000 0.0000 0.0000  8 Tb 3.14
Sb: 0.1801 0.1801 0.3602  5 Dy 3.21-3.31, 4 Tb 3.36
Sb: 0.8199 0.8199 0.6398  5 Dy 3.21-3.31, 4 Tb 3.36
N: 0.3966 0.3966 0.7933  1 Dy 2.24, 4 Tb 2.38
N: 0.6034 0.6034 0.2067  1 Dy 2.24, 4 Tb 2.38



Number 1: ρ 8.4 g/cm³. Number 2: ρ 8.3 g/cm³. Number 3: ρ 8.4 g/cm³. Number 4: ρ 8.8 g/cm³. Number 5: ρ 7.4 g/cm³. Number 6: ρ 9.5 g/cm³. Number 7: ρ 9.0 g/cm³. Number 8: ρ 8.2 g/cm³.